Record 1
{"formula": "Ac3Tb7Pm2", "functional": "PBE", "state": "optimized geometry", "lattice_angstrom": [[3.7796, 0.0000, 0.0000], [0.0000, 5.8020, 0.0000], [-1.8834, -0.0098, 20.4999]], "species": ["Ac", "Ac", "Ac", "Tb", "Tb", "Tb", "Tb", "Tb", "Tb", "Tb", "Pm", "Pm"], "frac_coords": [[0.0000, 0.0000, 0.0000], [0.3230, 0.5000, 0.6463], [0.6770, 0.5000, 0.3537], [0.0837, 0.5001, 0.1680], [0.2169, 0.0001, 0.4334], [0.4302, 0.9999, 0.8598], [0.5000, 0.5000, 0.0000], [0.5698, 0.0001, 0.1402], [0.7831, 0.9999, 0.5666], [0.9163, 0.4999, 0.8320], [0.1377, 0.9996, 0.2770], [0.8623, 0.0004, 0.7230]], "space_group": "P-1, No. 2", "e_form_kj_per_mol_atoms": 23.3, "energy_ev_per_atom": -4.278}



Record 2
{"formula": "Ac8Tb4Pm", "functional": "PBE", "state": "optimized geometry", "lattice_angstrom": [[5.8996, 3.4062, 4.8083], [-5.8996, 3.4062, 4.8083], [0.0000, -6.8123, 4.8083]], "species": ["Ac", "Ac", "Ac", "Ac", "Ac", "Ac", "Ac", "Ac", "Tb", "Tb", "Tb", "Tb", "Pm"], "frac_coords": [[0.2409, 0.2409, 0.2409], [0.2409, 0.2409, 0.7585], [0.2409, 0.7585, 0.2409], [0.2415, 0.7591, 0.7591], [0.7585, 0.2409, 0.2409], [0.7591, 0.2415, 0.7591], [0.7591, 0.7591, 0.2415], [0.7591, 0.7591, 0.7591], [0.0000, 0.0000, 0.0000], [0.0000, 0.5000, 0.5000], [0.5000, 0.0000, 0.5000], [0.5000, 0.5000, 0.0000], [0.5000, 0.5000, 0.5000]], "space_group": "R-3m, No. 166", "e_form_kj_per_mol_atoms": 38.0, "energy_ev_per_atom": -3.925}